VASP calculation (PBE) on crystalline U2SeCl6 at its relaxed geometry.

```
9
Lattice="7.765 -1.734 0.000 7.765 1.734 0.000 -6.850 0.000 11.002" Properties=species:S:1:pos:R:3 pbc="T T T"
U -0.678 0.000 2.274
U 9.358 0.000 8.729
Se 7.765 0.000 0.000
Cl -0.496 0.000 8.143
Cl 5.018 0.000 1.617
Cl 2.213 0.000 6.661
Cl 6.468 0.000 4.341
Cl 3.662 0.000 9.385
Cl 9.176 0.000 2.859
```

Results
DOS(E_F) in states/eV/atom: 1.2593
Energy relative to the elements, uncorrected in meV per atom: -1444
SG: C2/m (12)